Entry 1:
# PBE BaYTlGa, optimized geometry
# * N(E_F): 4.35 states/eV per cell
# * formation enthalpy at 0 K: -0.264 eV per atom
# * total magnetization: 0.000 Bohr magnetons per cell
# * final energy: -14.84 eV/cell
# * space group: F-43m (216)
data_BaYTlGa
_cell_length_a 5.595
_cell_length_b 5.595
_cell_length_c 5.595
_cell_angle_alpha 60.00
_cell_angle_beta 60.00
_cell_angle_gamma 60.00
_symmetry_space_group_name_H-M 'P 1'
_symmetry_Int_Tables_number 1
_symmetry_space_group_name_Hall 'P 1'
loop_
_atom_site_label
_atom_site_type_symbol
_atom_site_fract_x
_atom_site_fract_y
_atom_site_fract_z
_atom_site_occupancy
Ba1 Ba 0.000 0.000 0.000 1
Y1 Y 0.500 0.500 0.500 1
Tl1 Tl 0.750 0.750 0.750 1
Ga1 Ga 0.250 0.250 0.250 1

Entry 2:
# PBE AlZnSe, optimized geometry
# * N(E_F): 0.60 states/eV per cell
# * formation energy without anion corrections: -0.253 eV/atom
# * distance to the lowest polymorph of the same formula: 0 meV per atom
# * total magnetization: 0.000 Bohr magnetons per cell
# * final energy: -9.26 eV/cell
# * space group: P3m1 (156)
data_AlZnSe
_cell_length_a 3.673
_cell_length_b 3.673
_cell_length_c 5.143
_cell_angle_alpha 90.00
_cell_angle_beta 90.00
_cell_angle_gamma 120.00
_symmetry_space_group_name_H-M 'P 1'
_symmetry_Int_Tables_number 1
_symmetry_space_group_name_Hall 'P 1'
loop_
_atom_site_label
_atom_site_type_symbol
_atom_site_fract_x
_atom_site_fract_y
_atom_site_fract_z
_atom_site_occupancy
Al1 Al 0.000 0.000 0.000 1
Zn1 Zn 0.667 0.333 0.665 1
Se1 Se 0.333 0.667 0.283 1

Entry 3:
# PBE CoNiBr2, optimized geometry
# * N(E_F): 6.29 states/eV per cell
# * formation energy without anion corrections: 0.194 eV/atom
# * distance to the lowest polymorph of the same formula: 140 meV per atom
# * total magnetization: 3.000 Bohr magnetons per cell
# * final energy: -15.46 eV/cell
# * space group: P4mm (99)
data_CoNiBr2
_cell_length_a 3.412
_cell_length_b 3.412
_cell_length_c 7.176
_cell_angle_alpha 90.00
_cell_angle_beta 90.00
_cell_angle_gamma 90.00
_symmetry_space_group_name_H-M 'P 1'
_symmetry_Int_Tables_number 1
_symmetry_space_group_name_Hall 'P 1'
loop_
_atom_site_label
_atom_site_type_symbol
_atom_site_fract_x
_atom_site_fract_y
_atom_site_fract_z
_atom_site_occupancy
Co1 Co 0.000 0.000 0.000 1
Ni1 Ni 0.500 0.500 0.157 1
Br1 Br 0.000 0.000 0.331 1
Br2 Br 0.500 0.500 0.829 1

Entry 4:
# PBE Nd8Sb3Te4As, optimized geometry
# * N(E_F): 7.75 states/eV per cell
# * formation energy without anion corrections: -1.390 eV/atom
# * total magnetization: 0.000 Bohr magnetons per cell
# * final energy: -89.97 eV/cell
# * space group: R-3m (166)
data_Nd8Sb3Te4As
_cell_length_a 9.006
_cell_length_b 9.006
_cell_length_c 9.006
_cell_angle_alpha 59.61
_cell_angle_beta 59.61
_cell_angle_gamma 59.61
_symmetry_space_group_name_H-M 'P 1'
_symmetry_Int_Tables_number 1
_symmetry_space_group_name_Hall 'P 1'
loop_
_atom_site_label
_atom_site_type_symbol
_atom_site_fract_x
_atom_site_fract_y
_atom_site_fract_z
_atom_site_occupancy
Nd1 Nd 0.247 0.247 0.247 1
Nd2 Nd 0.255 0.739 0.739 1
Nd3 Nd 0.261 0.261 0.745 1
Nd4 Nd 0.261 0.745 0.261 1
Nd5 Nd 0.739 0.255 0.739 1
Nd6 Nd 0.739 0.739 0.255 1
Nd7 Nd 0.745 0.261 0.261 1
Nd8 Nd 0.753 0.753 0.753 1
Sb1 Sb 0.000 0.000 0.500 1
Sb2 Sb 0.000 0.500 0.000 1
Sb3 Sb 0.500 0.000 0.000 1
Te1 Te 0.000 0.000 0.000 1
Te2 Te 0.000 0.500 0.500 1
Te3 Te 0.500 0.000 0.500 1
Te4 Te 0.500 0.500 0.000 1
As1 As 0.500 0.500 0.500 1

Entry 5:
# PBE Ga12Ge5Au3, optimized geometry
# * N(E_F): 35.24 states/eV per cell
# * formation enthalpy at 0 K: -0.020 eV per atom
# * total magnetization: 0.000 Bohr magnetons per cell
# * final energy: -278.55 eV/cell
# * space group: Ia-3d (230)
data_Ga12Ge5Au3
_cell_length_a 13.023
_cell_length_b 13.023
_cell_length_c 13.023
_cell_angle_alpha 109.47
_cell_angle_beta 109.47
_cell_angle_gamma 109.47
_symmetry_space_group_name_H-M 'P 1'
_symmetry_Int_Tables_number 1
_symmetry_space_group_name_Hall 'P 1'
loop_
_atom_site_label
_atom_site_type_symbol
_atom_site_fract_x
_atom_site_fract_y
_atom_site_fract_z
_atom_site_occupancy
Ga1 Ga 0.060 0.231 0.130 1
Ga2 Ga 0.060 0.329 0.930 1
Ga3 Ga 0.070 0.630 0.399 1
Ga4 Ga 0.070 0.940 0.671 1
Ga5 Ga 0.101 0.731 0.671 1
Ga6 Ga 0.101 0.870 0.430 1
Ga7 Ga 0.130 0.060 0.231 1
Ga8 Ga 0.130 0.570 0.899 1
Ga9 Ga 0.171 0.231 0.601 1
Ga10 Ga 0.171 0.440 0.570 1
Ga11 Ga 0.231 0.130 0.060 1
Ga12 Ga 0.231 0.601 0.171 1
Ga13 Ga 0.269 0.329 0.899 1
Ga14 Ga 0.269 0.440 0.370 1
Ga15 Ga 0.329 0.899 0.269 1
Ga16 Ga 0.329 0.930 0.060 1
Ga17 Ga 0.370 0.269 0.440 1
Ga18 Ga 0.370 0.601 0.930 1
Ga19 Ga 0.399 0.070 0.630 1
Ga20 Ga 0.399 0.829 0.769 1
Ga21 Ga 0.430 0.101 0.870 1
Ga22 Ga 0.430 0.829 0.560 1
Ga23 Ga 0.440 0.370 0.269 1
Ga24 Ga 0.440 0.570 0.171 1
Ga25 Ga 0.560 0.430 0.829 1
Ga26 Ga 0.560 0.630 0.731 1
Ga27 Ga 0.570 0.171 0.440 1
Ga28 Ga 0.570 0.899 0.130 1
Ga29 Ga 0.601 0.171 0.231 1
Ga30 Ga 0.601 0.930 0.370 1
Ga31 Ga 0.630 0.399 0.070 1
Ga32 Ga 0.630 0.731 0.560 1
Ga33 Ga 0.671 0.070 0.940 1
Ga34 Ga 0.671 0.101 0.731 1
Ga35 Ga 0.731 0.560 0.630 1
Ga36 Ga 0.731 0.671 0.101 1
Ga37 Ga 0.769 0.399 0.829 1
Ga38 Ga 0.769 0.870 0.940 1
Ga39 Ga 0.829 0.560 0.430 1
Ga40 Ga 0.829 0.769 0.399 1
Ga41 Ga 0.870 0.430 0.101 1
Ga42 Ga 0.870 0.940 0.769 1
Ga43 Ga 0.899 0.130 0.570 1
Ga44 Ga 0.899 0.269 0.329 1
Ga45 Ga 0.930 0.060 0.329 1
Ga46 Ga 0.930 0.370 0.601 1
Ga47 Ga 0.940 0.671 0.070 1
Ga48 Ga 0.940 0.769 0.870 1
Ge1 Ge 0.000 0.000 0.000 1
Ge2 Ge 0.000 0.000 0.500 1
Ge3 Ge 0.000 0.500 0.000 1
Ge4 Ge 0.000 0.500 0.500 1
Ge5 Ge 0.125 0.750 0.875 1
Ge6 Ge 0.125 0.875 0.250 1
Ge7 Ge 0.250 0.125 0.875 1
Ge8 Ge 0.250 0.625 0.375 1
Ge9 Ge 0.375 0.250 0.625 1
Ge10 Ge 0.375 0.625 0.750 1
Ge11 Ge 0.500 0.000 0.000 1
Ge12 Ge 0.500 0.000 0.500 1
Ge13 Ge 0.500 0.500 0.000 1
Ge14 Ge 0.500 0.500 0.500 1
Ge15 Ge 0.625 0.375 0.250 1
Ge16 Ge 0.625 0.750 0.375 1
Ge17 Ge 0.750 0.375 0.625 1
Ge18 Ge 0.750 0.875 0.125 1
Ge19 Ge 0.875 0.125 0.750 1
Ge20 Ge 0.875 0.250 0.125 1
Au1 Au 0.125 0.250 0.375 1
Au2 Au 0.125 0.375 0.750 1
Au3 Au 0.250 0.375 0.125 1
Au4 Au 0.250 0.875 0.625 1
Au5 Au 0.375 0.125 0.250 1
Au6 Au 0.375 0.750 0.125 1
Au7 Au 0.625 0.250 0.875 1
Au8 Au 0.625 0.875 0.750 1
Au9 Au 0.750 0.125 0.375 1
Au10 Au 0.750 0.625 0.875 1
Au11 Au 0.875 0.625 0.250 1
Au12 Au 0.875 0.750 0.625 1

Entry 6:
# PBE Hf2TcBi, optimized geometry
# * N(E_F): 3.20 states/eV per cell
# * formation enthalpy at 0 K: -0.245 eV per atom
# * total magnetization: 0.000 Bohr magnetons per cell
# * final energy: -35.13 eV/cell
# * space group: P4/mmm (123)
data_Hf2TcBi
_cell_length_a 3.278
_cell_length_b 3.278
_cell_length_c 8.148
_cell_angle_alpha 90.00
_cell_angle_beta 90.00
_cell_angle_gamma 90.00
_symmetry_space_group_name_H-M 'P 1'
_symmetry_Int_Tables_number 1
_symmetry_space_group_name_Hall 'P 1'
loop_
_atom_site_label
_atom_site_type_symbol
_atom_site_fract_x
_atom_site_fract_y
_atom_site_fract_z
_atom_site_occupancy
Hf1 Hf 0.000 0.000 0.191 1
Hf2 Hf 0.000 0.000 0.809 1
Tc1 Tc 0.500 0.500 0.000 1
Bi1 Bi 0.500 0.500 0.500 1

Entry 7:
# PBE Pm3ZnPt, optimized geometry
# * N(E_F): 12.49 states/eV per cell
# * formation enthalpy at 0 K: -0.523 eV per atom
# * total magnetization: 0.001 Bohr magnetons per cell
# * final energy: -48.36 eV/cell
# * space group: Pmmn (59)
data_Pm3ZnPt
_cell_length_a 4.600
_cell_length_b 7.155
_cell_length_c 8.627
_cell_angle_alpha 90.00
_cell_angle_beta 90.00
_cell_angle_gamma 90.00
_symmetry_space_group_name_H-M 'P 1'
_symmetry_Int_Tables_number 1
_symmetry_space_group_name_Hall 'P 1'
loop_
_atom_site_label
_atom_site_type_symbol
_atom_site_fract_x
_atom_site_fract_y
_atom_site_fract_z
_atom_site_occupancy
Pm1 Pm 0.250 0.004 0.170 1
Pm2 Pm 0.250 0.250 0.553 1
Pm3 Pm 0.250 0.496 0.170 1
Pm4 Pm 0.750 0.504 0.830 1
Pm5 Pm 0.750 0.750 0.447 1
Pm6 Pm 0.750 0.996 0.830 1
Zn1 Zn 0.250 0.750 0.671 1
Zn2 Zn 0.750 0.250 0.329 1
Pt1 Pt 0.250 0.250 0.897 1
Pt2 Pt 0.750 0.750 0.103 1

Entry 8:
# PBE K2RbNaLi, optimized geometry
# * N(E_F): 4.43 states/eV per cell
# * formation enthalpy at 0 K: 0.451 eV per atom
# * distance to the lowest polymorph of the same formula: 331 meV per atom
# * total magnetization: 0.000 Bohr magnetons per cell
# * final energy: -4.14 eV/cell
# * space group: P4/mmm (123)
data_K2RbNaLi
_cell_length_a 7.559
_cell_length_b 7.559
_cell_length_c 6.786
_cell_angle_alpha 90.00
_cell_angle_beta 90.00
_cell_angle_gamma 90.00
_symmetry_space_group_name_H-M 'P 1'
_symmetry_Int_Tables_number 1
_symmetry_space_group_name_Hall 'P 1'
loop_
_atom_site_label
_atom_site_type_symbol
_atom_site_fract_x
_atom_site_fract_y
_atom_site_fract_z
_atom_site_occupancy
K1 K 0.000 0.500 0.000 1
K2 K 0.500 0.000 0.000 1
Rb1 Rb 0.000 0.000 0.000 1
Na1 Na 0.000 0.000 0.500 1
Li1 Li 0.500 0.500 0.500 1